[1]
## TaSi2Br (PBE)

Data for a geometry-optimized TaSi2Br structure.

Output
Formation energy without anion corrections in eV per atom: 0.169

Cell and atoms, written as CIF:
```
data_TaSi2Br
_chemical_formula_sum 'Ta2 Si4 Br2'
_space_group_name_H-M_alt 'C 1 m 1'
_space_group_IT_number 8
_cell_length_a 7.2044
_cell_length_b 3.3902
_cell_length_c 8.1387
_cell_angle_alpha 90.00
_cell_angle_beta 109.24
_cell_angle_gamma 90.00
loop_
_space_group_symop_operation_xyz
'x,y,z'
'x,-y,z'
'x+1/2,y+1/2,z'
'x+1/2,-y+1/2,z'
loop_
_atom_site_label
_atom_site_fract_x
_atom_site_fract_y
_atom_site_fract_z
Ta1 0.0000 0.0000 0.0000
Si1 0.2214 0.0000 0.8216
Si2 0.4732 0.0000 0.7048
Br1 0.1121 0.5000 0.2630
```

---

[2]
## LaSm2Ho9 (PBE)

Data for a geometry-optimized LaSm2Ho9 structure.

Output
Calculated formation energy in eV per atom: 0.0257

Cell and atoms, written as CIF:
```
data_LaSm2Ho9
_chemical_formula_sum 'La1 Sm2 Ho9'
_space_group_name_H-M_alt 'P 4/m m m'
_space_group_IT_number 123
_space_group_name_Hall '-P 4 2'
_cell_length_a 5.0363
_cell_length_b 5.0363
_cell_length_c 15.1158
_cell_angle_alpha 90.00
_cell_angle_beta 90.00
_cell_angle_gamma 90.00
loop_
_atom_site_label
_atom_site_fract_x
_atom_site_fract_y
_atom_site_fract_z
La1 0.0000 0.0000 0.0000
Sm1 0.0000 0.0000 0.3336
Ho1 0.0000 0.5000 0.1692
Ho2 0.0000 0.5000 0.5000
Ho3 0.5000 0.5000 0.0000
Ho4 0.5000 0.5000 0.3348
```

---

| no. | DFT total energy (eV per atom) | relative energy among the computed polymorphs (eV per atom) |
| --- | --- | --- |
| 1 | -5.924 | 0.149 |
| 2 | -4.605 | 0.000 |